Entry 1:
DFT (PBE-GGA) results for an optimized crystal structure of Y2AlOs.

Lattice parameters (Å, degrees): 4.2438 4.0251 5.8260 69.73 90.00 90.00
Atoms (fractional coordinates):
Y  0.5000  0.2672  0.3412
Y  0.0000  0.9831  0.9080
Al  0.0000  0.6870  0.5012
Os  0.5000  0.5627  0.7496

Summary:
As for the density of states at the Fermi level: 3.15 states/eV per cell. Its volume is 23.3 Å³/atom. Its crystal system is orthorhombic. The calculation puts the formation energy at -0.306 eV/atom. Its total energy is -29.1 eV/f.u. The spin magnetization is 0.0 μB/f.u.



Entry 2:
DFT (PBE-GGA) results for an optimized crystal structure of Mg4H5Ir.

Lattice parameters (Å, degrees): 6.4789 5.2226 5.2241 94.39 103.75 50.90
Atoms (fractional coordinates):
Mg  0.1183  0.8211  0.8372
Mg  0.2387  0.2965  0.4317
Mg  0.5997  0.8316  0.9631
Mg  0.5996  0.4666  0.3288
Ir  0.5987  0.3013  0.7971
H  0.7020  0.9964  0.5943
H  0.8536  0.5612  0.3121
H  0.8154  0.0549  0.0838
H  0.8154  0.3711  0.7674
H  0.3389  0.9643  0.2002

Summary:
Its volume is 13.3 Å³/atom. Its energy above the most stable polymorph in this dataset is 59 meV per atom. Its crystal system is monoclinic. Its total energy is -34.4 eV/f.u. The spin magnetization is 0.0 μB/f.u.



Entry 3:
DFT (PBE-GGA) results for an optimized crystal structure of Nd4Dy2In.

Lattice parameters (Å, degrees): 6.7255 6.7278 12.3289 97.01 96.88 123.82
Atoms (fractional coordinates):
Nd  0.6731  0.1895  0.9236
Nd  0.9516  0.7908  0.2919
Nd  0.4396  0.4221  0.4235
Nd  0.9876  0.0257  0.5755
Nd  0.0408  0.7020  0.7921
Nd  0.9145  0.2514  0.2085
Nd  0.2758  0.7381  0.0756
Nd  0.5010  0.6647  0.7081
Dy  0.4047  0.2985  0.1317
Dy  0.5244  0.9347  0.3672
Dy  0.5481  0.1550  0.6319
Dy  0.1870  0.2758  0.8671
In  0.0212  0.5301  0.5015
In  0.7805  0.7716  0.0018

Summary:
As for the density of states at the Fermi level: 15.45 states/eV per cell. Its volume is 32.0 Å³/atom. Its energy above the most stable polymorph in this dataset is 0 meV per atom. Its crystal system is triclinic. The calculation puts the formation energy at -0.093 eV/atom. Its total energy is -31.7 eV/f.u. The spin magnetization is 0.0 μB/f.u.



Entry 4:
DFT (PBE-GGA) results for an optimized crystal structure of Pm3HfRh4.

Lattice parameters (Å, degrees): 3.3925 3.3925 14.3399 90.00 90.00 90.00
Atoms (fractional coordinates):
Pm  0.5000  0.5000  0.2432
Pm  0.5000  0.5000  0.7568
Pm  0.5000  0.5000  0.5000
Rh  0.0000  0.0000  0.1041
Rh  0.0000  0.0000  0.3706
Rh  0.0000  0.0000  0.8959
Rh  0.0000  0.0000  0.6294
Hf  0.5000  0.5000  0.0000

Summary:
As for the density of states at the Fermi level: 5.19 states/eV per cell. Its volume is 20.6 Å³/atom. Its crystal system is tetragonal. The calculation puts the formation energy at -0.728 eV/atom. Its total energy is -59.4 eV/f.u. The spin magnetization is 0.0 μB/f.u.



Entry 5:
DFT (PBE-GGA) results for an optimized crystal structure of PmAg6Ge2.

Lattice parameters (Å, degrees): 4.2506 4.2506 9.6795 90.00 90.00 90.00
Atoms (fractional coordinates):
Ag  0.0000  0.5000  0.2902
Ag  0.5000  0.0000  0.7098
Ag  0.5000  0.5000  0.5000
Ag  0.5000  0.0000  0.2902
Ag  0.0000  0.5000  0.7098
Ag  0.0000  0.0000  0.5000
Ge  0.5000  0.5000  0.8746
Ge  0.5000  0.5000  0.1254
Pm  0.0000  0.0000  0.0000

Summary:
As for the density of states at the Fermi level: 3.80 states/eV per cell. Its volume is 19.4 Å³/atom. Its crystal system is tetragonal. The calculation puts the formation energy at -0.184 eV/atom. Its total energy is -32.7 eV/f.u. The spin magnetization is 0.0 μB/f.u.



Entry 6:
DFT (PBE-GGA) results for an optimized crystal structure of NaIn6O8.

Lattice parameters (Å, degrees): 7.3240 7.3240 6.9195 58.05 58.05 60.00
Atoms (fractional coordinates):
O  0.7263  0.7263  0.8211
O  0.2209  0.7305  0.3192
O  0.2706  0.7791  0.6808
O  0.2695  0.2706  0.6808
O  0.7305  0.7294  0.3192
O  0.7791  0.2695  0.6808
O  0.2737  0.2737  0.1789
O  0.7294  0.2209  0.3192
Na  0.0000  0.0000  0.0000
In  0.4061  0.9099  0.2789
In  0.0901  0.5949  0.7211
In  0.5939  0.0901  0.7211
In  0.5949  0.5939  0.7211
In  0.9099  0.4051  0.2789
In  0.4051  0.4061  0.2789

Summary:
As for the density of states at the Fermi level: 3.87 states/eV per cell. Its volume is 17.0 Å³/atom. Its uncorrected formation energy is -1.2444 eV per atom. Its crystal system is trigonal. Its total energy is -76.1 eV/f.u. The spin magnetization is 0.0 μB/f.u.



Entry 7:
DFT (PBE-GGA) results for an optimized crystal structure of LiDyThCo.

Lattice parameters (Å, degrees): 4.9425 4.9425 4.9425 60.00 60.00 60.00
Atoms (fractional coordinates):
Li  0.5000  0.5000  0.5000
Th  0.7500  0.7500  0.7500
Dy  0.2500  0.2500  0.2500
Co  0.0000  0.0000  0.0000

Summary:
As for the density of states at the Fermi level: 3.68 states/eV per cell. Its volume is 21.3 Å³/atom. Its crystal system is cubic. The calculation puts the formation energy at 0.011 eV/atom. Its total energy is -21.0 eV/f.u. The spin magnetization is 0.2 μB/f.u.



Entry 8:
DFT (PBE-GGA) results for an optimized crystal structure of LiLaDyAu.

Lattice parameters (Å, degrees): 5.2503 5.2503 5.2503 60.00 60.00 60.00
Atoms (fractional coordinates):
La  0.7500  0.7500  0.7500
Au  0.0000  0.0000  0.0000
Li  0.5000  0.5000  0.5000
Dy  0.2500  0.2500  0.2500

Summary:
As for the density of states at the Fermi level: 4.38 states/eV per cell. Its volume is 25.6 Å³/atom. Its crystal system is cubic. The calculation puts the formation energy at -0.349 eV/atom. Its total energy is -16.1 eV/f.u. The spin magnetization is 0.0 μB/f.u.